(1)
{"formula": "LaTaTc2", "functional": "PBEsol", "state": "relaxed", "lattice_angstrom": [[-0.7061, 2.9315, -0.8471], [-4.1053, -1.4842, -1.7143], [0.2810, 0.0430, 5.7050]], "species": ["Tc", "Tc", "La", "Ta"], "frac_coords": [[0.7330, 0.2330, 0.4659], [0.0220, 0.0220, 0.0440], [0.4879, 0.4879, 0.9758], [0.2571, 0.7571, 0.5142]], "mass_density_g_cm3": 11.739, "formation_energy_ev_per_atom": 0.362, "dos_at_fermi_per_ev_fu": 2.847, "sg": "Imm2 (44)", "magnetic_moment_mub_per_atom": 0.000}



(2)
{"formula": "LaTa2Tc", "functional": "PBEsol", "state": "relaxed", "lattice_angstrom": [[3.0811, 0.0000, 0.0000], [1.5406, 2.6683, 0.0000], [1.5406, 0.8894, 9.5285]], "species": ["Ta", "Ta", "Tc", "La"], "frac_coords": [[0.0106, 0.0106, 0.9683], [0.7564, 0.7564, 0.7309], [0.4890, 0.4890, 0.5331], [0.2441, 0.2441, 0.2677]], "mass_density_g_cm3": 12.693, "formation_energy_ev_per_atom": 0.376, "dos_at_fermi_per_ev_fu": 4.239, "de_polymorph_mev_per_atom": 212, "sg": "R3m (160)", "magnetic_moment_mub_per_atom": 0.000}



(3)
{"formula": "LaTa2Tc", "functional": "PBEsol", "state": "relaxed", "lattice_angstrom": [[3.8902, 0.0000, 0.0000], [0.0000, 3.8902, 0.0000], [0.0000, 0.0000, 5.1244]], "species": ["Ta", "Ta", "Tc", "La"], "frac_coords": [[0.5000, 0.0000, 0.0000], [0.0000, 0.5000, 0.0000], [0.5000, 0.5000, 0.5000], [0.0000, 0.0000, 0.5000]], "mass_density_g_cm3": 12.822, "formation_energy_ev_per_atom": 0.621, "dos_at_fermi_per_ev_fu": 4.698, "de_polymorph_mev_per_atom": 458, "sg": "P4/mmm (123)", "magnetic_moment_mub_per_atom": 0.000}